The following is a DFT calculation (meta-GGA SCAN) of a PBEsol-optimized structure of LaCr4Cu3O12.

Cell and atoms, written as POSCAR:
```
LaCr4Cu3O12
1.0
-5.301 -1.927 -2.755
1.841 -4.273 4.215
-1.015 5.483 2.884
O Cu Cr La
12 3 4 1
Direct
0.302 0.120 0.818
0.516 0.818 0.698
0.880 0.182 0.698
0.120 0.818 0.302
0.818 0.302 0.120
0.818 0.698 0.516
0.698 0.516 0.818
0.302 0.484 0.182
0.698 0.880 0.182
0.484 0.182 0.302
0.182 0.698 0.880
0.182 0.302 0.484
0.500 0.500 0.000
0.000 0.500 0.500
0.500 0.000 0.500
0.000 0.000 0.500
0.500 0.500 0.500
0.500 0.000 0.000
0.000 0.500 0.000
0.000 0.000 0.000
```

## Properties
calculated volume	190.4	Å³ per cell
density	6.36	g/cm³
symmetry	Im-3 (204)
raw formation energy	-2.094	eV per atom



The following is a DFT calculation (meta-GGA SCAN) of a PBEsol-optimized structure of LiCr2Cu.

Cell and atoms, written as POSCAR:
```
LiCr2Cu
1.0
-0.960 0.153 -2.106
-1.270 -3.682 0.312
-3.946 1.589 2.690
Li Cu Cr
1 1 2
Direct
0.229 0.500 0.741
0.467 0.000 0.511
0.792 0.500 0.232
0.011 0.000 0.016
```

## Properties
calculated volume	45.2	Å³ per cell
E_form	354	meV/atom
density	6.41	g/cm³
offset from the most stable computed form	2.711	kcal/mol of atoms
symmetry	Pm (6)